6
Lattice="2.991 0.000 0.000 0.000 2.991 0.000 0.000 0.000 9.745" Properties=species:S:1:pos:R:3 comment="UReB PBE-GGA relaxed" polymorph_energy_mev_per_atom=222.7 magnetic_moment_mub_per_fu=0.5 energy_ha_per_atom=-0.3717 formation_enthalpy_0k_kj_per_mol_fu=6 pbc="T T T"
U 0.000 0.000 0.000
U 1.496 1.496 4.872
Re 0.000 0.000 2.743
Re 1.496 1.496 7.615
B 0.000 0.000 6.821
B 1.496 1.496 1.949

***

29
Lattice="0.000 6.556 6.556 6.556 0.000 6.556 6.556 6.556 0.000" Properties=species:S:1:pos:R:3 comment="Ti23Pb6 PBE-GGA relaxed" magnetic_moment_mub_per_fu=13.9 energy_ha_per_atom=-0.2533 formation_enthalpy_0k_kj_per_mol_fu=381 pbc="T T T"
Ti 0.000 0.000 0.000
Ti 3.278 3.278 0.000
Ti 3.278 0.000 3.278
Ti 6.556 3.278 3.278
Ti 4.369 2.188 2.188
Ti 1.582 1.582 1.582
Ti 4.974 4.974 1.582
Ti 4.974 1.582 4.974
Ti 2.188 4.369 2.188
Ti 2.188 2.188 4.369
Ti 4.369 4.369 4.369
Ti 11.530 8.139 8.139
Ti 0.000 3.278 3.278
Ti 3.278 6.556 3.278
Ti 3.278 3.278 6.556
Ti 1.582 4.974 4.974
Ti 8.744 8.744 8.744
Ti 10.925 10.925 8.744
Ti 10.925 8.744 10.925
Ti 8.139 11.530 8.139
Ti 8.139 8.139 11.530
Ti 11.530 11.530 11.530
Ti 8.744 10.925 10.925
Pb 6.556 6.556 3.636
Pb 6.556 3.636 6.556
Pb 9.477 6.556 6.556
Pb 3.636 6.556 6.556
Pb 6.556 9.477 6.556
Pb 6.556 6.556 9.477

***

6
Lattice="3.723 0.000 0.000 0.000 5.196 0.000 -1.828 0.000 11.836" Properties=species:S:1:pos:R:3 comment="BaYSc PBE-GGA relaxed" polymorph_energy_mev_per_atom=0.0 magnetic_moment_mub_per_fu=0.2 energy_ha_per_atom=-0.1740 formation_enthalpy_0k_kj_per_mol_fu=49 pbc="T T T"
Ba 0.000 0.000 0.000
Ba 0.005 2.598 8.902
Y 0.002 2.598 5.356
Y 1.864 2.598 2.410
Sc 0.006 0.000 3.651
Sc 1.865 0.000 6.403

***

4
Lattice="3.182 0.000 0.000 0.000 4.485 0.000 0.000 0.000 5.105" Properties=species:S:1:pos:R:3 comment="MgTa2Ag PBE-GGA relaxed" magnetic_moment_mub_per_fu=0.0 energy_ha_per_atom=-0.2494 formation_enthalpy_0k_kj_per_mol_fu=97 pbc="T T T"
Mg 0.000 0.000 0.000
Ta 0.000 2.242 2.553
Ta 1.591 0.000 2.553
Ag 1.591 2.242 0.000

***

Repeat the third record exactly.
6
Lattice="3.723 0.000 0.000 0.000 5.196 0.000 -1.828 0.000 11.836" Properties=species:S:1:pos:R:3 comment="BaYSc PBE-GGA relaxed" polymorph_energy_mev_per_atom=0.0 magnetic_moment_mub_per_fu=0.2 energy_ha_per_atom=-0.1740 formation_enthalpy_0k_kj_per_mol_fu=49 pbc="T T T"
Ba 0.000 0.000 0.000
Ba 0.005 2.598 8.902
Y 0.002 2.598 5.356
Y 1.864 2.598 2.410
Sc 0.006 0.000 3.651
Sc 1.865 0.000 6.403